Record 1
4
Lattice="-2.2457 2.8067 -2.5198 0.3293 -2.7755 -3.3850 -5.5674 -2.8459 1.7918" Properties=species:S:1:pos:R:3 comment="SrMnTe2, optimized geometry, DFT PBEsol" total_magnetization_mub_per_atom=1.251 polymorph_energy_kj_per_mol_atoms=11.8 e_form_raw_ev_per_atom=-0.614 sg="P4mm, No. 99" energy_ev_per_atom=-5.278 pbc="T T T"
Sr -5.8515 -2.4858 -1.3775
Mn -2.3111 -1.1814 0.7438
Te -3.0310 -1.0440 -2.2853
Te -4.6413 -2.3725 1.4938



Record 2
26
Lattice="-7.1218 -1.6650 1.3341 -4.3445 -2.4364 -5.5191 1.9885 -7.2100 1.6175" Properties=species:S:1:pos:R:3 comment="KLiW6O18, optimized geometry, DFT PBEsol" total_magnetization_mub_per_atom=0.000 e_form_raw_ev_per_atom=-2.175 sg="P3m1, No. 156" energy_ev_per_atom=-9.115 pbc="T T T"
O -4.1045 -7.3717 -0.8335
O -4.4835 -9.7402 -2.1625
O -3.0255 -5.2471 -2.0811
O -4.0211 -4.9705 0.3757
O -0.7836 -6.5958 -1.4575
O -5.4275 -6.2569 -2.9566
O -8.0096 -6.8581 -2.4739
W -8.2822 -6.4396 -0.6284
O -4.9614 -1.4984 -0.4172
W -7.2782 -10.0744 0.1849
W -6.9027 -6.8228 -4.0324
W -3.7458 -9.2486 -0.4769
W -4.7441 -5.6124 -1.2908
O -8.6984 -4.6462 -1.0908
O -6.4340 -5.9773 -0.4731
O -7.3822 -5.0118 -4.3386
K -10.7273 -6.7135 -3.5915
O -5.3267 -3.8583 -1.7243
O -5.4766 -9.4643 0.2881
O -2.0800 -6.2357 1.7415
W -5.9007 -10.4571 -3.2144
O -7.0306 -10.3383 -1.6854
O -3.9803 -1.7710 -2.8383
O -1.4678 -4.3757 -0.1023
O -2.4455 -0.9081 -0.8888
Li -2.3024 -6.8059 -0.1669



Record 3
20
Lattice="-0.4603 -2.3174 -6.5869 -6.4435 -2.7174 1.4064 -4.1916 8.5366 -2.7104" Properties=species:S:1:pos:R:3 comment="La3ZnN, optimized geometry, DFT PBEsol" total_magnetization_mub_per_atom=0.000 polymorph_energy_kj_per_mol_atoms=0.0 e_form_raw_ev_per_atom=-0.726 sg="Pnma, No. 62" energy_ev_per_atom=-5.956 pbc="T T T"
La -5.1923 -2.2617 -0.5997
La -6.4598 4.8188 -1.8923
N -0.2302 -1.1587 -3.2935
Zn -1.1547 2.0547 -0.7625
La -4.1573 2.2080 -6.1624
La -9.1126 4.4674 -6.4103
N -5.3176 2.9096 -0.6520
La -4.6357 -1.3170 -5.9987
La -3.7288 2.5900 -2.6095
La -6.9382 1.2938 -1.7286
La -1.9830 -0.9656 -1.4806
N -3.2218 -1.3587 0.7032
Zn -9.9408 1.4471 -7.1284
N -2.3260 3.1096 -4.6487
La -7.3667 0.9118 -5.2814
La -7.7076 -1.9212 -3.1510
Zn -6.5038 3.8894 -4.7514
La -5.9032 5.7635 -7.2913
La -3.3879 5.4230 -4.7400
Zn -4.5918 -0.3876 -3.1396



Record 4
4
Lattice="5.4460 0.0000 0.0000 2.7230 4.7163 0.0000 2.7230 1.5721 4.4466" Properties=species:S:1:pos:R:3 comment="LaY2Cl, optimized geometry, DFT PBEsol" total_magnetization_mub_per_atom=0.000 polymorph_energy_kj_per_mol_atoms=23.8 e_form_raw_ev_per_atom=0.013 sg="F-43m, No. 216" energy_ev_per_atom=-5.237 pbc="T T T"
La 2.7230 1.5721 1.1117
Y 8.1689 4.7163 3.3350
Y 0.0000 0.0000 0.0000
Cl 5.4460 3.1442 2.2233



Record 5
6
Lattice="-2.5280 -2.6577 -3.9446 -2.0245 -4.9052 0.9247 -5.3343 -0.7140 0.2220" Properties=species:S:1:pos:R:3 comment="FeSiAs4, optimized geometry, DFT PBEsol" total_magnetization_mub_per_atom=0.509 e_form_raw_ev_per_atom=0.809 sg="F-43m, No. 216" energy_ev_per_atom=-5.047 pbc="T T T"
As -3.5108 -4.8167 -1.8601
As -5.1673 -2.7192 -2.2118
As -4.9153 -3.8440 0.2251
As -6.1805 -5.1741 -1.7490
Fe -2.4717 -2.0692 -0.6995
Si 0.0000 0.0000 0.0000



Record 6
5
Lattice="4.5430 0.0000 0.0000 0.0000 5.1774 0.0000 0.0000 0.0000 5.1774" Properties=species:S:1:pos:R:3 comment="In2IrRuCl, optimized geometry, DFT PBEsol" total_magnetization_mub_per_atom=0.046 e_form_raw_ev_per_atom=0.583 sg="P4/mmm, No. 123" energy_ev_per_atom=-5.010 pbc="T T T"
Ru 0.0000 0.0000 0.0000
Ir 2.2715 0.0000 0.0000
In 0.0000 0.0000 2.5887
In 0.0000 2.5887 0.0000
Cl 2.2715 2.5887 2.5887



Record 7
5
Lattice="-1.1542 1.4112 -4.4267 0.0035 -4.5610 -1.4549 -4.6462 -0.3540 1.0986" Properties=species:S:1:pos:R:3 comment="Si3BSe, optimized geometry, DFT PBEsol" total_magnetization_mub_per_atom=0.000 polymorph_energy_kj_per_mol_atoms=126.7 e_form_raw_ev_per_atom=1.928 sg="Pm-3m, No. 221" energy_ev_per_atom=-3.694 pbc="T T T"
Si -0.5771 0.7056 -2.2133
Si 0.0017 -2.2805 -0.7274
Se 0.0000 0.0000 0.0000
Si -2.3231 -0.1770 0.5493
B -2.8984 -1.7519 -2.3915



Record 8
5
Lattice="4.3456 0.0000 0.0000 0.0000 4.8104 0.0000 0.0000 0.0000 4.8104" Properties=species:S:1:pos:R:3 comment="TiBeWSe2, optimized geometry, DFT PBEsol" total_magnetization_mub_per_atom=0.451 e_form_raw_ev_per_atom=0.730 sg="P4/mmm, No. 123" energy_ev_per_atom=-6.036 pbc="T T T"
W 0.0000 0.0000 0.0000
Ti 2.1728 2.4052 2.4052
Se 0.0000 2.4052 0.0000
Be 2.1728 0.0000 0.0000
Se 0.0000 0.0000 2.4052



Record 9
4
Lattice="3.2501 0.0000 0.0000 0.0000 3.2501 0.0000 0.0000 0.0000 7.6290" Properties=species:S:1:pos:R:3 comment="CaIn2Ni, optimized geometry, DFT PBEsol" e_form_ev_per_atom=-0.28 total_magnetization_mub_per_atom=0.000 sg="P4/mmm, No. 123" energy_ev_per_atom=-3.848 pbc="T T T"
Ni 1.6251 1.6251 0.0000
In 0.0000 0.0000 6.1477
In 0.0000 0.0000 1.4813
Ca 1.6251 1.6251 3.8145



Record 10
4
Lattice="3.0422 0.0000 0.0000 0.0000 3.0422 0.0000 0.0000 0.0000 8.2271" Properties=species:S:1:pos:R:3 comment="Zr2HgPt, optimized geometry, DFT PBEsol" e_form_ev_per_atom=-0.60 total_magnetization_mub_per_atom=0.000 sg="P4/mmm, No. 123" energy_ev_per_atom=-7.029 pbc="T T T"
Zr 0.0000 0.0000 6.0136
Pt 1.5211 1.5211 4.1136
Hg 1.5211 1.5211 0.0000
Zr 0.0000 0.0000 2.2135



Record 11
4
Lattice="-2.4288 -1.0274 -2.6828 2.7562 0.1578 -2.5556 0.7679 -3.7208 3.3673" Properties=species:S:1:pos:R:3 comment="AlAg2Os, optimized geometry, DFT PBEsol" e_form_ev_per_atom=0.37 total_magnetization_mub_per_atom=0.099 sg="I4/mmm, No. 139" energy_ev_per_atom=-5.364 pbc="T T T"
Os 0.0000 0.0000 0.0000
Al 0.1637 -0.4348 -2.6192
Ag -0.7486 -2.5915 -0.9674
Ag 1.8439 -1.9989 -0.9037



Record 12
4
Lattice="-1.6469 -0.4773 3.3569 0.9771 -3.6404 -0.0383 4.6918 1.2333 2.4771" Properties=species:S:1:pos:R:3 comment="K2OsRh, optimized geometry, DFT PBEsol" e_form_ev_per_atom=1.27 total_magnetization_mub_per_atom=0.005 polymorph_energy_kj_per_mol_atoms=0.0 sg="P4/mmm, No. 123" energy_ev_per_atom=-4.386 pbc="T T T"
Os 2.0110 -1.4422 2.8979
Rh 2.3459 0.6166 1.2386
K -0.8234 -0.2387 1.6784
K 0.4886 -1.8202 -0.0191